CrAg2Br: relaxed, PBE.

The structure in POSCAR format:
```
CrAg2Br
1.0
-2.189 1.023 -2.288
-1.462 -3.412 -0.127
-4.740 1.681 5.288
Ag Br Cr
2 1 1
direct
0.000 0.989 0.991 Ag
0.500 0.481 0.182 Ag
0.000 0.536 0.531 Br
0.500 0.494 0.795 Cr
```

Summary:
**Magnetic moment**: 4.12 μB/f.u.
**Total DFT energy (no corrections)**: -4.0624 eV/atom
**Space-group type**: No. 6
**Formation energy from raw total energies**: 0.1872 eV/atom

---

La3DyH: relaxed, PBE.

The structure in POSCAR format:
```
La3DyH
1.0
5.234 0.000 0.000
0.000 5.234 0.000
0.000 0.000 5.234
H La Dy
1 3 1
direct
0.000 0.000 0.000 H
0.000 0.500 0.000 La
0.000 0.000 0.500 La
0.500 0.000 0.000 La
0.500 0.500 0.500 Dy
```

Summary:
**Magnetic moment**: 0.00 μB/f.u.
**Total DFT energy (no corrections)**: -4.7127 eV/atom
**Space-group type**: No. 221